Record 1
First-principles (GGA-PBEsol) data for a geometry-optimized MnNbO4 structure, as listed in the Alexandria database.

```
6
Lattice="-3.013 -1.872 1.653 -0.808 -1.721 -3.421 4.765 -1.797 2.018" Properties=species:S:1:pos:R:3 pbc="T T T"
Nb -1.911 -1.796 -0.884
Mn -0.080 -2.732 1.394
O -1.265 -1.240 0.923
O 1.106 -4.225 1.865
O -0.696 -3.325 -0.401
O 1.640 -2.064 0.651
```

uncorrected formation energy = -2.08 eV/atom



Record 2
First-principles (GGA-PBEsol) data for a geometry-optimized LiTa6O15 structure, as listed in the Alexandria database.

```
44
Lattice="3.866 0.000 0.000 0.000 8.985 0.000 0.000 0.000 16.841" Properties=species:S:1:pos:R:3 pbc="T T T"
Li 1.933 1.386 6.124
Li 1.933 7.599 14.545
Ta 0.000 7.306 7.421
Ta 0.000 1.657 9.401
Ta 0.000 7.328 0.980
Ta 0.000 1.679 15.841
Ta 0.000 6.153 4.233
Ta 0.000 2.832 12.654
Ta 0.000 0.435 4.170
Ta 0.000 8.550 12.590
Ta 0.000 3.568 6.235
Ta 0.000 5.393 10.639
Ta 0.000 3.592 2.218
Ta 0.000 5.417 14.655
O 0.000 3.017 8.057
O 0.000 5.945 8.863
O 0.000 3.040 0.443
O 0.000 5.968 16.478
O 1.933 7.296 7.423
O 1.933 1.589 9.500
O 1.933 7.396 1.080
O 1.933 1.689 15.843
O 1.933 6.152 4.194
O 1.933 2.833 12.614
O 0.000 1.628 5.717
O 0.000 7.194 11.250
O 0.000 1.791 2.830
O 0.000 7.357 14.138
O 0.000 4.066 4.187
O 0.000 4.920 12.607
O 0.000 5.525 6.222
O 0.000 3.462 10.621
O 0.000 5.523 2.201
O 0.000 3.460 14.643
O 0.000 7.820 5.482
O 0.000 1.149 11.390
O 0.000 7.836 2.969
O 0.000 1.165 13.903
O 1.933 0.472 4.341
O 1.933 8.513 12.762
O 0.000 0.041 8.317
O 0.000 8.944 16.737
O 1.933 3.397 6.135
O 1.933 5.588 14.555
```

uncorrected formation energy = -2.71 eV/atom



Record 3
First-principles (GGA-PBEsol) data for a geometry-optimized GaHg2Bi structure, as listed in the Alexandria database.

```
4
Lattice="-3.621 1.811 3.193 -1.039 -2.487 4.395 1.354 2.078 4.520" Properties=species:S:1:pos:R:3 pbc="T T T"
Bi -1.653 0.701 6.054
Ga 0.000 0.000 0.000
Hg -0.827 0.350 3.027
Hg -2.480 1.051 9.081
```

calculated formation energy = 0.061 eV/atom



Record 4
First-principles (GGA-PBEsol) data for a geometry-optimized Mg2GePb2 structure, as listed in the Alexandria database.

```
5
Lattice="-1.744 0.801 -3.867 -3.526 -2.218 1.131 -0.350 6.783 3.972" Properties=species:S:1:pos:R:3 pbc="T T T"
Pb -3.256 1.928 1.868
Pb -2.365 3.438 -0.631
Ge 0.000 0.000 0.000
Mg -2.418 4.920 2.109
Mg -3.203 0.446 -0.873
```

calculated formation energy = 0.316 eV/atom



no.,total moment (μB/f.u.),D(E_F) (states/eV/f.u.)
1,3.85,1.010
2,0.14,0.740
3,0.00,1.686
4,0.00,2.929